KVMo3: relaxed, GGA-PBE.

Its density of states at the Fermi level is 8.20 states/eV/cell. Its energy above the most stable polymorph in this dataset is 1453 meV per atom. The calculated total energy is -27.2 eV for the cell shown. For the formation energy, the calculation gives 3.098 eV per atom.

Lattice parameters (Å, degrees): 4.4876 4.4876 4.4876 90.00 90.00 90.00
With the nearest neighbours (Å) after each atom.
Element x y z (fractional)
Mo  0.0000  0.5000  0.0000  2 K 2.24
Mo  0.0000  0.0000  0.5000  2 K 2.24
Mo  0.5000  0.0000  0.0000  2 K 2.24
K  0.0000  0.0000  0.0000  6 Mo 2.24
V  0.5000  0.5000  0.5000  12 Mo 3.17

---

KVMo3: relaxed, GGA-PBE.

Its density of states at the Fermi level is 5.04 states/eV/cell. Its energy above the most stable polymorph in this dataset is 0 meV per atom. The calculated total energy is -34.5 eV for the cell shown. For the formation energy, the calculation gives 1.644 eV per atom.

Lattice parameters (Å, degrees): 4.7067 4.7067 4.7067 90.00 90.00 90.00
With the nearest neighbours (Å) after each atom.
Element x y z (fractional)
Mo  0.0000  0.5000  0.0000  2 V 2.35
Mo  0.0000  0.0000  0.5000  2 V 2.35
Mo  0.5000  0.0000  0.0000  2 V 2.35
K  0.5000  0.5000  0.5000  12 Mo 3.33
V  0.0000  0.0000  0.0000  6 Mo 2.35

---

K2VMo: relaxed, GGA-PBE.

Its density of states at the Fermi level is 8.91 states/eV/cell. Its energy above the most stable polymorph in this dataset is 0 meV per atom. The calculated total energy is -32.6 eV for the cell shown. For the formation energy, the calculation gives 1.464 eV per atom.

Lattice parameters (Å, degrees): 12.8557 12.8557 9.3539 46.59 46.59 90.00
With the nearest neighbours (Å) after each atom.
Element x y z (fractional)
Mo  0.0000  0.0000  0.0000  2 V 2.20
Mo  0.7500  0.2500  0.5000  2 V 2.20
K  0.4536  0.1250  0.2500  2 V 3.41, 2 Mo 3.75
K  0.2964  0.6250  0.2500  2 V 3.41, 2 Mo 3.75
K  0.3750  0.5464  0.7500  2 V 3.41, 2 Mo 3.75
K  0.8750  0.7036  0.7500  2 V 3.41, 2 Mo 3.75
V  0.5000  0.5000  0.0000  2 Mo 2.20
V  0.2500  0.7500  0.5000  2 Mo 2.20

---

K2VMo: relaxed, GGA-PBE.

Its density of states at the Fermi level is 6.46 states/eV/cell. Its energy above the most stable polymorph in this dataset is 544 meV per atom. The calculated total energy is -14.1 eV for the cell shown. For the formation energy, the calculation gives 2.008 eV per atom.

Lattice parameters (Å, degrees): 5.9401 5.9401 5.9401 60.00 60.00 60.00
With the nearest neighbours (Å) after each atom.
Element x y z (fractional)
Mo  0.5000  0.5000  0.5000  8 K 3.64
K  0.2500  0.2500  0.2500  4 Mo 3.64, 4 V 3.64
K  0.7500  0.7500  0.7500  4 Mo 3.64, 4 V 3.64
V  0.0000  0.0000  0.0000  8 K 3.64

---

K3VMo: relaxed, GGA-PBE.

Its density of states at the Fermi level is 6.33 states/eV/cell. Its energy above the most stable polymorph in this dataset is 0 meV per atom. The calculated total energy is -14.1 eV for the cell shown. For the formation energy, the calculation gives 1.838 eV per atom.

Lattice parameters (Å, degrees): 6.4927 6.4927 6.4927 90.00 90.00 90.00
With the nearest neighbours (Å) after each atom.
Element x y z (fractional)
Mo  0.5000  0.5000  0.5000  12 K 4.59
K  0.0000  0.5000  0.0000  2 V 3.25
K  0.0000  0.0000  0.5000  2 V 3.25
K  0.5000  0.0000  0.0000  2 V 3.25
V  0.0000  0.0000  0.0000  6 K 3.25

---

KMoW2: relaxed, GGA-PBE.

Its density of states at the Fermi level is 4.03 states/eV/cell. Its energy above the most stable polymorph in this dataset is 1057 meV per atom. The calculated total energy is -30.5 eV for the cell shown. For the formation energy, the calculation gives 1.840 eV per atom.

Lattice parameters (Å, degrees): 5.2734 5.2734 2.6790 90.00 90.00 90.00
With the nearest neighbours (Å) after each atom.
Element x y z (fractional)
K  0.5000  0.0000  0.5000  2 K 2.68, 8 W 2.96
Mo  0.0000  0.5000  0.5000  2 Mo 2.68, 8 W 2.96
W  0.0000  0.0000  0.0000  2 W 2.68, 4 Mo 2.96, 4 K 2.96
W  0.5000  0.5000  0.0000  2 W 2.68, 4 K 2.96, 4 Mo 2.96

---

KMoW2: relaxed, GGA-PBE.

Its density of states at the Fermi level is 2.93 states/eV/cell. Its energy above the most stable polymorph in this dataset is 262 meV per atom. The calculated total energy is -33.7 eV for the cell shown. For the formation energy, the calculation gives 1.045 eV per atom.

Lattice parameters (Å, degrees): 2.6764 2.6764 10.9445 90.00 90.00 90.00
With the nearest neighbours (Å) after each atom.
Element x y z (fractional)
K  0.5000  0.5000  0.2500  4 K 2.68
Mo  0.5000  0.5000  0.7500  4 Mo 2.68, 8 W 2.96
W  0.0000  0.0000  0.9584  4 W 2.68, 4 Mo 2.96
W  0.0000  0.0000  0.5416  4 W 2.68, 4 Mo 2.96

---

KMo3W: relaxed, GGA-PBE.

Its density of states at the Fermi level is 8.09 states/eV/cell. Its energy above the most stable polymorph in this dataset is 0 meV per atom. The calculated total energy is -37.2 eV for the cell shown. For the formation energy, the calculation gives 1.865 eV per atom.

Lattice parameters (Å, degrees): 4.9039 4.9039 4.9039 90.00 90.00 90.00
With the nearest neighbours (Å) after each atom.
Element x y z (fractional)
Mo  0.0000  0.5000  0.0000  2 W 2.45
Mo  0.0000  0.0000  0.5000  2 W 2.45
Mo  0.5000  0.0000  0.0000  2 W 2.45
K  0.5000  0.5000  0.5000  12 Mo 3.47
W  0.0000  0.0000  0.0000  6 Mo 2.45

---

K2MoW: relaxed, GGA-PBE.

Its density of states at the Fermi level is 3.12 states/eV/cell. Its energy above the most stable polymorph in this dataset is 119 meV per atom. The calculated total energy is -21.9 eV for the cell shown. For the formation energy, the calculation gives 1.030 eV per atom.

Lattice parameters (Å, degrees): 3.1312 3.1312 12.0744 90.00 90.00 115.46
With the nearest neighbours (Å) after each atom.
Element x y z (fractional)
K  0.0000  0.0000  0.9540  6 K 3.13-3.34, 2 W 3.50
K  0.5000  0.5000  0.2965  6 K 3.13-3.34, 2 Mo 3.49
Mo  0.0000  0.0000  0.5504  2 W 2.45
W  0.5000  0.5000  0.6992  2 Mo 2.45

---

K2MoW: relaxed, GGA-PBE.

Its density of states at the Fermi level is 4.05 states/eV/cell. Its energy above the most stable polymorph in this dataset is 604 meV per atom. The calculated total energy is -19.9 eV for the cell shown. For the formation energy, the calculation gives 1.516 eV per atom.

Lattice parameters (Å, degrees): 3.0935 4.5653 6.2685 90.00 90.00 90.00
With the nearest neighbours (Å) after each atom.
Element x y z (fractional)
K  0.0000  0.0000  0.0000  4 K 2.76
K  0.5000  0.5000  0.0000  4 K 2.76
Mo  0.5000  0.0000  0.5000  4 W 2.76
W  0.0000  0.5000  0.5000  4 Mo 2.76

---

K2MoW: relaxed, GGA-PBE.

Its density of states at the Fermi level is 3.71 states/eV/cell. Its energy above the most stable polymorph in this dataset is 638 meV per atom. The calculated total energy is -19.8 eV for the cell shown. For the formation energy, the calculation gives 1.549 eV per atom.

Lattice parameters (Å, degrees): 12.6623 12.6623 12.6623 12.93 12.93 12.93
With the nearest neighbours (Å) after each atom.
Element x y z (fractional)
K  0.9998  0.9998  0.9998  6 K 2.85
K  0.5002  0.5002  0.5002  6 K 2.85
Mo  0.2500  0.2500  0.2500  6 Mo 2.85
W  0.7500  0.7500  0.7500  6 W 2.85

---

KMoW: relaxed, GGA-PBE.

Its density of states at the Fermi level is 2.43 states/eV/cell. Its energy above the most stable polymorph in this dataset is 280 meV per atom. The calculated total energy is -21.1 eV for the cell shown. For the formation energy, the calculation gives 1.257 eV per atom.

Lattice parameters (Å, degrees): 8.7857 8.7857 8.7857 162.38 162.38 25.02
With the nearest neighbours (Å) after each atom.
Element x y z (fractional)
K  0.0009  0.0009  0.0000  4 K 2.69
Mo  0.3150  0.3150  0.0000  4 Mo 2.69, 4 W 2.94
W  0.6842  0.6842  0.0000  4 W 2.69, 4 Mo 2.94

---

KMoW2: relaxed, GGA-PBE.

Its density of states at the Fermi level is 4.51 states/eV/cell. Its energy above the most stable polymorph in this dataset is 429 meV per atom. The calculated total energy is -33.0 eV for the cell shown. For the formation energy, the calculation gives 1.212 eV per atom.

Lattice parameters (Å, degrees): 4.7984 4.7984 7.5713 89.24 89.24 32.10
With the nearest neighbours (Å) after each atom.
Element x y z (fractional)
K  0.4990  0.4990  0.5005  2 K 2.65
Mo  0.2596  0.2596  0.1577  2 Mo 2.65, 5 W 2.69-2.84
W  0.0006  0.0006  0.9995  5 W 2.65-2.83, 3 Mo 2.69-2.84
W  0.7408  0.7408  0.8422  5 W 2.65-2.83, 2 Mo 2.74

---

K2MoW: relaxed, GGA-PBE.

Its density of states at the Fermi level is 4.65 states/eV/cell. Its energy above the most stable polymorph in this dataset is 711 meV per atom. The calculated total energy is -19.5 eV for the cell shown. For the formation energy, the calculation gives 1.622 eV per atom.

Lattice parameters (Å, degrees): 6.7513 6.7513 6.7513 147.07 147.07 47.25
With the nearest neighbours (Å) after each atom.
Element x y z (fractional)
K  0.0000  0.0000  0.0000  4 K 2.71
K  0.5000  0.5000  0.0000  4 K 2.71
Mo  0.2500  0.7500  0.5000  4 W 2.71
W  0.7500  0.2500  0.5000  4 Mo 2.71

---

KMoW2: relaxed, GGA-PBE.

Its density of states at the Fermi level is 3.36 states/eV/cell. Its energy above the most stable polymorph in this dataset is 235 meV per atom. The calculated total energy is -33.8 eV for the cell shown. For the formation energy, the calculation gives 1.018 eV per atom.

Lattice parameters (Å, degrees): 11.3598 11.3598 11.3598 14.18 14.18 14.18
With the nearest neighbours (Å) after each atom.
Element x y z (fractional)
K  0.2500  0.2500  0.2500  6 K 2.80
Mo  0.7500  0.7500  0.7500  6 Mo 2.80, 6 W 2.93
W  0.0108  0.0108  0.0108  6 W 2.80, 3 Mo 2.93
W  0.4892  0.4892  0.4892  6 W 2.80, 3 Mo 2.93

---

KMoW4: relaxed, GGA-PBE.

Its density of states at the Fermi level is 8.44 states/eV/cell. The calculated total energy is -56.9 eV for the cell shown. For the formation energy, the calculation gives 1.140 eV per atom.

Lattice parameters (Å, degrees): 5.4050 5.4050 5.4050 60.00 60.00 60.00
With the nearest neighbours (Å) after each atom.
Element x y z (fractional)
K  0.7500  0.7500  0.7500  12 W 3.17, 4 Mo 3.31
Mo  0.0000  0.0000  0.0000  12 W 3.17, 4 K 3.31
W  0.3756  0.8732  0.3756  6 W 2.69-2.72
W  0.8732  0.3756  0.3756  6 W 2.69-2.72
W  0.3756  0.3756  0.8732  6 W 2.69-2.72
W  0.3756  0.3756  0.3756  6 W 2.69-2.72

---

KMoW3: relaxed, GGA-PBE.

Its density of states at the Fermi level is 6.85 states/eV/cell. Its energy above the most stable polymorph in this dataset is 0 meV per atom. The calculated total energy is -39.8 eV for the cell shown. For the formation energy, the calculation gives 2.194 eV per atom.

Lattice parameters (Å, degrees): 4.8828 4.8828 4.8828 90.00 90.00 90.00
With the nearest neighbours (Å) after each atom.
Element x y z (fractional)
Mo  0.0000  0.0000  0.0000  6 W 2.44
K  0.5000  0.5000  0.5000  12 W 3.45
W  0.0000  0.5000  0.0000  2 Mo 2.44
W  0.0000  0.0000  0.5000  2 Mo 2.44
W  0.5000  0.0000  0.0000  2 Mo 2.44

---

KMoW: relaxed, GGA-PBE.

Its density of states at the Fermi level is 1.78 states/eV/cell. Its energy above the most stable polymorph in this dataset is 2437 meV per atom. The calculated total energy is -14.6 eV for the cell shown. For the formation energy, the calculation gives 3.415 eV per atom.

Lattice parameters (Å, degrees): 4.8294 4.8294 4.8294 60.00 60.00 60.00
With the nearest neighbours (Å) after each atom.
Element x y z (fractional)
K  0.7500  0.7500  0.7500  4 Mo 2.96, 4 W 2.96
Mo  0.0000  0.0000  0.0000  4 K 2.96
W  0.5000  0.5000  0.5000  4 K 2.96

---

K2MoW: relaxed, GGA-PBE.

Its density of states at the Fermi level is 3.60 states/eV/cell. Its energy above the most stable polymorph in this dataset is 599 meV per atom. The calculated total energy is -19.9 eV for the cell shown. For the formation energy, the calculation gives 1.511 eV per atom.

Lattice parameters (Å, degrees): 2.7600 2.7600 12.5330 90.00 90.00 111.73
With the nearest neighbours (Å) after each atom.
Element x y z (fractional)
K  0.0000  0.0000  0.9998  4 K 2.76
K  0.0000  0.0000  0.5002  4 K 2.76
Mo  0.5000  0.5000  0.2500  4 Mo 2.76
W  0.5000  0.5000  0.7500  4 W 2.76

---

KMoW2: relaxed, GGA-PBE.

Its density of states at the Fermi level is 3.25 states/eV/cell. Its energy above the most stable polymorph in this dataset is 265 meV per atom. The calculated total energy is -33.6 eV for the cell shown. For the formation energy, the calculation gives 1.049 eV per atom.

Lattice parameters (Å, degrees): 3.0804 3.8671 8.1681 90.00 90.00 90.00
With the nearest neighbours (Å) after each atom.
Element x y z (fractional)
K  0.5000  0.5000  0.2500  2 K 3.08
Mo  0.5000  0.5000  0.7500  8 W 2.74
W  0.0000  0.0000  0.8940  1 W 2.35
W  0.0000  0.0000  0.6060  1 W 2.35